No. 1
The following is a DFT calculation (PBE) of a geometry-optimized LuBeAlCo structure.

## Properties
Magnetization, μB per formula unit: 0.0
SG: F-43m (216)
Energy above the most stable polymorph in this dataset, kJ/mol of atoms: 12.9
Calculated volume, Å³ per cell: 57.9

a = 4.343 Å, b = 4.343 Å, c = 4.343 Å
α = 60.00°, β = 60.00°, γ = 60.00°
Fractional coordinates of all 4 atoms:
Al 0.000 0.000 0.000
Be 0.500 0.500 0.500
Co 0.750 0.750 0.750
Lu 0.250 0.250 0.250

=====

No. 2
The following is a DFT calculation (PBE) of a geometry-optimized MgBeAlCo structure.

## Properties
Magnetization, μB per formula unit: 0.0
SG: F-43m (216)
Energy above the most stable polymorph in this dataset, kJ/mol of atoms: 3.9
Calculated volume, Å³ per cell: 50.3

a = 4.144 Å, b = 4.144 Å, c = 4.144 Å
α = 60.00°, β = 60.00°, γ = 60.00°
Fractional coordinates of all 4 atoms:
Al 0.250 0.250 0.250
Be 0.750 0.750 0.750
Co 0.000 0.000 0.000
Mg 0.500 0.500 0.500

=====

No. 3
The following is a DFT calculation (PBE) of a geometry-optimized MgBeAlCo structure.

## Properties
Magnetization, μB per formula unit: 0.0
SG: F-43m (216)
Energy above the most stable polymorph in this dataset, kJ/mol of atoms: 0.0
Calculated volume, Å³ per cell: 50.5

a = 4.149 Å, b = 4.149 Å, c = 4.149 Å
α = 60.00°, β = 60.00°, γ = 60.00°
Fractional coordinates of all 4 atoms:
Al 0.000 0.000 0.000
Be 0.250 0.250 0.250
Co 0.750 0.750 0.750
Mg 0.500 0.500 0.500

=====

No. 4
The following is a DFT calculation (PBE) of a geometry-optimized BeNbAlCo structure.

## Properties
Magnetization, μB per formula unit: 1.5
SG: F-43m (216)
Energy above the most stable polymorph in this dataset, kJ/mol of atoms: 26.1
Calculated volume, Å³ per cell: 52.1

a = 4.194 Å, b = 4.194 Å, c = 4.194 Å
α = 60.00°, β = 60.00°, γ = 60.00°
Last column: magnetic moment on the atom in μB.
Fractional coordinates of all 4 atoms:
Al 0.000 0.000 0.000  0.00
Be 0.500 0.500 0.500  -0.02
Co 0.750 0.750 0.750  0.89
Nb 0.250 0.250 0.250  0.63

=====

No. 5
The following is a DFT calculation (PBE) of a geometry-optimized BeNbAlCo structure.

## Properties
Magnetization, μB per formula unit: 0.1
SG: F-43m (216)
Energy above the most stable polymorph in this dataset, kJ/mol of atoms: 0.0
Calculated volume, Å³ per cell: 50.9

a = 4.161 Å, b = 4.161 Å, c = 4.161 Å
α = 60.00°, β = 60.00°, γ = 60.00°
Last column: magnetic moment on the atom in μB.
Fractional coordinates of all 4 atoms:
Al 0.000 0.000 0.000  0.00
Be 0.250 0.250 0.250  0.01
Co 0.750 0.750 0.750  0.12
Nb 0.500 0.500 0.500  0.00

=====

No. 6
The following is a DFT calculation (PBE) of a geometry-optimized BeAlCoNi structure.

## Properties
Magnetization, μB per formula unit: 0.0
SG: F-43m (216)
Energy above the most stable polymorph in this dataset, kJ/mol of atoms: 0.0
Calculated volume, Å³ per cell: 41.3

a = 3.880 Å, b = 3.880 Å, c = 3.880 Å
α = 60.00°, β = 60.00°, γ = 60.00°
Fractional coordinates of all 4 atoms:
Al 0.250 0.250 0.250
Be 0.750 0.750 0.750
Co 0.000 0.000 0.000
Ni 0.500 0.500 0.500

=====

No. 7
The following is a DFT calculation (PBE) of a geometry-optimized BeAlCoNi structure.

## Properties
Magnetization, μB per formula unit: 0.4
SG: F-43m (216)
Energy above the most stable polymorph in this dataset, kJ/mol of atoms: 23.8
Calculated volume, Å³ per cell: 42.6

a = 3.920 Å, b = 3.920 Å, c = 3.920 Å
α = 60.00°, β = 60.00°, γ = 60.00°
Last column: magnetic moment on the atom in μB.
Fractional coordinates of all 4 atoms:
Al 0.250 0.250 0.250  0.00
Be 0.000 0.000 0.000  -0.01
Co 0.750 0.750 0.750  0.44
Ni 0.500 0.500 0.500  0.03

=====

No. 8
The following is a DFT calculation (PBE) of a geometry-optimized BeAlCoPb structure.

## Properties
Magnetization, μB per formula unit: 0.0
SG: F-43m (216)
Energy above the most stable polymorph in this dataset, kJ/mol of atoms: 13.3
Calculated volume, Å³ per cell: 63.0

a = 4.467 Å, b = 4.467 Å, c = 4.467 Å
α = 60.00°, β = 60.00°, γ = 60.00°
Fractional coordinates of all 4 atoms:
Al 0.250 0.250 0.250
Be 0.750 0.750 0.750
Co 0.000 0.000 0.000
Pb 0.500 0.500 0.500

=====

No. 9
The following is a DFT calculation (PBE) of a geometry-optimized BeAlCoPb structure.

## Properties
Magnetization, μB per formula unit: 0.0
SG: F-43m (216)
Energy above the most stable polymorph in this dataset, kJ/mol of atoms: 0.0
Calculated volume, Å³ per cell: 60.4

a = 4.405 Å, b = 4.405 Å, c = 4.405 Å
α = 60.00°, β = 60.00°, γ = 60.00°
Fractional coordinates of all 4 atoms:
Al 0.000 0.000 0.000
Be 0.750 0.750 0.750
Co 0.250 0.250 0.250
Pb 0.500 0.500 0.500

=====

No. 10
The following is a DFT calculation (PBE) of a geometry-optimized BeAlCoSn structure.

## Properties
Magnetization, μB per formula unit: 0.0
SG: F-43m (216)
Energy above the most stable polymorph in this dataset, kJ/mol of atoms: 0.0
Calculated volume, Å³ per cell: 54.8

a = 4.263 Å, b = 4.263 Å, c = 4.263 Å
α = 60.00°, β = 60.00°, γ = 60.00°
Fractional coordinates of all 4 atoms:
Al 0.000 0.000 0.000
Be 0.750 0.750 0.750
Co 0.250 0.250 0.250
Sn 0.500 0.500 0.500

=====

No. 11
The following is a DFT calculation (PBE) of a geometry-optimized BeAlCoSn structure.

## Properties
Magnetization, μB per formula unit: 0.0
SG: F-43m (216)
Energy above the most stable polymorph in this dataset, kJ/mol of atoms: 17.6
Calculated volume, Å³ per cell: 56.9

a = 4.318 Å, b = 4.318 Å, c = 4.318 Å
α = 60.00°, β = 60.00°, γ = 60.00°
Fractional coordinates of all 4 atoms:
Al 0.250 0.250 0.250
Be 0.750 0.750 0.750
Co 0.000 0.000 0.000
Sn 0.500 0.500 0.500

=====

No. 12
The following is a DFT calculation (PBE) of a geometry-optimized BeAlCoTc structure.

## Properties
Magnetization, μB per formula unit: 2.3
SG: F-43m (216)
Energy above the most stable polymorph in this dataset, kJ/mol of atoms: 0.0
Calculated volume, Å³ per cell: 47.5

a = 4.064 Å, b = 4.064 Å, c = 4.064 Å
α = 60.00°, β = 60.00°, γ = 60.00°
Last column: magnetic moment on the atom in μB.
Fractional coordinates of all 4 atoms:
Al 0.000 0.000 0.000  -0.02
Be 0.250 0.250 0.250  0.06
Co 0.750 0.750 0.750  1.35
Tc 0.500 0.500 0.500  0.82

=====

No. 13
The following is a DFT calculation (PBE) of a geometry-optimized BeAlCoTc structure.

## Properties
Magnetization, μB per formula unit: 1.3
SG: F-43m (216)
Energy above the most stable polymorph in this dataset, kJ/mol of atoms: 0.9
Calculated volume, Å³ per cell: 46.8

a = 4.046 Å, b = 4.046 Å, c = 4.046 Å
α = 60.00°, β = 60.00°, γ = 60.00°
Last column: magnetic moment on the atom in μB.
Fractional coordinates of all 4 atoms:
Al 0.000 0.000 0.000  -0.01
Be 0.500 0.500 0.500  -0.02
Co 0.750 0.750 0.750  0.79
Tc 0.250 0.250 0.250  0.50

=====

No. 14
The following is a DFT calculation (PBE) of a geometry-optimized BeAlCoW structure.

## Properties
Magnetization, μB per formula unit: 2.2
SG: F-43m (216)
Energy above the most stable polymorph in this dataset, kJ/mol of atoms: 17.1
Calculated volume, Å³ per cell: 49.6

a = 4.125 Å, b = 4.125 Å, c = 4.125 Å
α = 60.00°, β = 60.00°, γ = 60.00°
Fractional coordinates of all 4 atoms:
Al 0.000 0.000 0.000
Be 0.500 0.500 0.500
Co 0.750 0.750 0.750
W 0.250 0.250 0.250

=====

No. 15
The following is a DFT calculation (PBE) of a geometry-optimized BeAlCoW structure.

## Properties
Magnetization, μB per formula unit: 2.0
SG: F-43m (216)
Energy above the most stable polymorph in this dataset, kJ/mol of atoms: 0.0
Calculated volume, Å³ per cell: 49.3

a = 4.115 Å, b = 4.115 Å, c = 4.115 Å
α = 60.00°, β = 60.00°, γ = 60.00°
Last column: magnetic moment on the atom in μB.
Fractional coordinates of all 4 atoms:
Al 0.000 0.000 0.000  -0.01
Be 0.250 0.250 0.250  0.11
Co 0.750 0.750 0.750  1.06
W 0.500 0.500 0.500  0.66

=====

No. 16
The following is a DFT calculation (PBE) of a geometry-optimized BeAlCu2 structure.

## Properties
SG: Pm-3m (221)
Calculated volume, Å³ per cell: 181.1
Raw total energy, hartree per atom: -0.14251

a = 5.657 Å, b = 5.657 Å, c = 5.657 Å
α = 90.00°, β = 90.00°, γ = 90.00°
Fractional coordinates of all 16 atoms:
Al 0.500 0.500 0.000
Al 0.500 0.000 0.500
Al 0.000 0.500 0.500
Al 0.500 0.500 0.500
Be 0.000 0.000 0.000
Be 0.500 0.000 0.000
Be 0.000 0.500 0.000
Be 0.000 0.000 0.500
Cu 0.234 0.234 0.234
Cu 0.766 0.234 0.234
Cu 0.234 0.766 0.234
Cu 0.766 0.766 0.234
Cu 0.234 0.234 0.766
Cu 0.766 0.234 0.766
Cu 0.234 0.766 0.766
Cu 0.766 0.766 0.766

=====

No. 17
The following is a DFT calculation (PBE) of a geometry-optimized BeAl2Cu5 structure.

## Properties
SG: P4/mmm (123)
Energy above the most stable polymorph in this dataset, kJ/mol of atoms: 0.8
Calculated volume, Å³ per cell: 94.7

a = 4.048 Å, b = 4.048 Å, c = 5.781 Å
α = 90.00°, β = 90.00°, γ = 90.00°
Fractional coordinates of all 8 atoms:
Al 0.000 0.000 0.000
Al 0.500 0.500 0.500
Be 0.000 0.000 0.500
Cu 0.500 0.500 0.000
Cu 0.500 0.000 0.263
Cu 0.000 0.500 0.263
Cu 0.500 0.000 0.737
Cu 0.000 0.500 0.737

=====

No. 18
The following is a DFT calculation (PBE) of a geometry-optimized BeAl2Cu5 structure.

## Properties
SG: I4_1/amd (141)
Energy above the most stable polymorph in this dataset, kJ/mol of atoms: 0.1
Calculated volume, Å³ per cell: 188.4

a = 7.086 Å, b = 7.086 Å, c = 7.086 Å
α = 132.74°, β = 132.74°, γ = 69.06°
Fractional coordinates of all 16 atoms:
Al 0.512 0.512 0.000
Al 0.988 0.988 0.000
Al 0.238 0.738 0.500
Al 0.762 0.262 0.500
Be 0.250 0.250 0.000
Be 0.500 0.000 0.500
Cu 0.750 0.750 0.000
Cu 0.375 0.899 0.024
Cu 0.149 0.625 0.024
Cu 0.375 0.351 0.476
Cu 0.601 0.625 0.476
Cu 0.000 0.500 0.500
Cu 0.149 0.125 0.524
Cu 0.875 0.899 0.524
Cu 0.601 0.125 0.976
Cu 0.875 0.351 0.976

=====

No. 19
The following is a DFT calculation (PBE) of a geometry-optimized BeAlCu structure.

## Properties
SG: F-43m (216)
Energy above the most stable polymorph in this dataset, kJ/mol of atoms: 0.0
Calculated volume, Å³ per cell: 39.3

a = 3.815 Å, b = 3.815 Å, c = 3.815 Å
α = 60.00°, β = 60.00°, γ = 60.00°
Fractional coordinates of all 3 atoms:
Al 0.250 0.250 0.250
Be 0.000 0.000 0.000
Cu 0.750 0.750 0.750

=====

No. 20
The following is a DFT calculation (PBE) of a geometry-optimized BeAlCu2 structure.

## Properties
SG: Pm-3m (221)
Calculated volume, Å³ per cell: 181.3
Raw total energy, hartree per atom: -0.14252

a = 5.660 Å, b = 5.660 Å, c = 5.660 Å
α = 90.00°, β = 90.00°, γ = 90.00°
Fractional coordinates of all 16 atoms:
Al 0.000 0.000 0.000
Al 0.500 0.000 0.000
Al 0.000 0.500 0.000
Al 0.000 0.000 0.500
Be 0.500 0.500 0.000
Be 0.500 0.000 0.500
Be 0.000 0.500 0.500
Be 0.500 0.500 0.500
Cu 0.267 0.267 0.267
Cu 0.733 0.267 0.267
Cu 0.267 0.733 0.267
Cu 0.733 0.733 0.267
Cu 0.267 0.267 0.733
Cu 0.733 0.267 0.733
Cu 0.267 0.733 0.733
Cu 0.733 0.733 0.733

=====

No. 21
The following is a DFT calculation (PBE) of a geometry-optimized BeAl2Cu5 structure.

## Properties
SG: I4_1/amd (141)
Energy above the most stable polymorph in this dataset, kJ/mol of atoms: 0.0
Calculated volume, Å³ per cell: 188.5

a = 7.067 Å, b = 7.067 Å, c = 7.067 Å
α = 132.45°, β = 132.45°, γ = 69.52°
Fractional coordinates of all 16 atoms:
Al 0.011 0.011 0.000
Al 0.489 0.489 0.000
Al 0.739 0.239 0.500
Al 0.261 0.761 0.500
Be 0.750 0.750 0.000
Be 0.000 0.500 0.500
Cu 0.250 0.250 0.000
Cu 0.875 0.399 0.024
Cu 0.649 0.125 0.024
Cu 0.101 0.125 0.476
Cu 0.875 0.851 0.476
Cu 0.500 0.000 0.500
Cu 0.375 0.399 0.524
Cu 0.649 0.625 0.524
Cu 0.101 0.625 0.976
Cu 0.375 0.851 0.976

=====

No. 22
The following is a DFT calculation (PBE) of a geometry-optimized BeAlCu2 structure.

## Properties
SG: F-43m (216)
Calculated volume, Å³ per cell: 46.0
Raw total energy, hartree per atom: -0.13876

a = 4.023 Å, b = 4.023 Å, c = 4.023 Å
α = 60.00°, β = 60.00°, γ = 60.00°
Fractional coordinates of all 4 atoms:
Al 0.000 0.000 0.000
Be 0.250 0.250 0.250
Cu 0.500 0.500 0.500
Cu 0.750 0.750 0.750

=====

No. 23
The following is a DFT calculation (PBE) of a geometry-optimized BeAl2Cu5 structure.

## Properties
SG: P4/mmm (123)
Energy above the most stable polymorph in this dataset, kJ/mol of atoms: 0.8
Calculated volume, Å³ per cell: 94.7

a = 4.048 Å, b = 4.048 Å, c = 5.781 Å
α = 90.00°, β = 90.00°, γ = 90.00°
Fractional coordinates of all 8 atoms:
Al 0.000 0.000 0.000
Al 0.500 0.500 0.500
Be 0.500 0.500 0.000
Cu 0.500 0.000 0.237
Cu 0.000 0.500 0.237
Cu 0.000 0.000 0.500
Cu 0.500 0.000 0.763
Cu 0.000 0.500 0.763

=====

No. 24
The following is a DFT calculation (PBE) of a geometry-optimized BeAl2FeCu4 structure.

## Properties
Magnetization, μB per formula unit: 2.4
SG: P4/mmm (123)
Energy above the most stable polymorph in this dataset, kJ/mol of atoms: 0.0
Calculated volume, Å³ per cell: 93.3

a = 3.874 Å, b = 3.874 Å, c = 6.216 Å
α = 90.00°, β = 90.00°, γ = 90.00°
Last column: magnetic moment on the atom in μB.
Fractional coordinates of all 8 atoms:
Al 0.000 0.000 0.000  -0.02
Al 0.500 0.500 0.500  -0.01
Be 0.000 0.000 0.500  0.03
Cu 0.500 0.000 0.264  -0.01
Cu 0.000 0.500 0.264  0.01
Cu 0.500 0.000 0.736  -0.01
Cu 0.000 0.500 0.736  0.01
Fe 0.500 0.500 0.000  2.34

=====

No. 25
The following is a DFT calculation (PBE) of a geometry-optimized BeAl2FeCu4 structure.

## Properties
Magnetization, μB per formula unit: 2.3
SG: I4_1/amd (141)
Energy above the most stable polymorph in this dataset, kJ/mol of atoms: 0.8
Calculated volume, Å³ per cell: 188.0

a = 6.954 Å, b = 6.954 Å, c = 6.954 Å
α = 130.89°, β = 130.89°, γ = 71.99°
Last column: magnetic moment on the atom in μB.
Fractional coordinates of all 16 atoms:
Al 0.013 0.013 0.000  -0.02
Al 0.487 0.487 0.000  -0.02
Al 0.737 0.237 0.500  -0.02
Al 0.263 0.763 0.500  -0.02
Be 0.750 0.750 0.000  0.04
Be 0.000 0.500 0.500  0.04
Cu 0.875 0.401 0.026  0.00
Cu 0.651 0.125 0.026  0.00
Cu 0.099 0.125 0.474  0.00
Cu 0.875 0.849 0.474  0.00
Cu 0.375 0.401 0.526  0.00
Cu 0.651 0.625 0.526  0.00
Cu 0.099 0.625 0.974  0.00
Cu 0.375 0.849 0.974  0.00
Fe 0.250 0.250 0.000  2.34
Fe 0.500 0.000 0.500  2.34

=====

No. 26
The following is a DFT calculation (PBE) of a geometry-optimized BeAl2FeCu4 structure.

## Properties
Magnetization, μB per formula unit: 2.3
SG: I4_1/amd (141)
Energy above the most stable polymorph in this dataset, kJ/mol of atoms: 0.8
Calculated volume, Å³ per cell: 187.8

a = 6.954 Å, b = 6.954 Å, c = 6.954 Å
α = 130.91°, β = 130.91°, γ = 71.95°
Last column: magnetic moment on the atom in μB.
Fractional coordinates of all 16 atoms:
Al 0.513 0.513 0.000  -0.02
Al 0.987 0.987 0.000  -0.02
Al 0.763 0.263 0.500  -0.02
Al 0.237 0.737 0.500  -0.02
Be 0.250 0.250 0.000  0.04
Be 0.500 0.000 0.500  0.04
Cu 0.152 0.625 0.027  0.00
Cu 0.375 0.902 0.027  0.00
Cu 0.375 0.348 0.473  0.00
Cu 0.598 0.625 0.473  0.00
Cu 0.152 0.125 0.527  0.00
Cu 0.875 0.902 0.527  0.00
Cu 0.598 0.125 0.973  0.00
Cu 0.875 0.348 0.973  0.00
Fe 0.750 0.750 0.000  2.34
Fe 0.000 0.500 0.500  2.34